Material: Mn2ReOs
Method: DFT, PBE
State: relaxed

extended XYZ file:
```
4
Lattice="4.6017 0.0057 0.0024 3.8195 2.5666 0.0024 0.7752 0.2368 4.4953" Properties=species:S:1:pos:R:3 pbc="T T T"
Os 4.5713 1.3963 2.2715
Mn 0.7875 0.2405 4.4436
Mn 6.8945 2.1060 3.4119
Re 2.3167 0.7076 1.1185
```

- D(E_F) (states/eV/f.u.) = 3.66
- magnetization (μB/cell) = 0.03
- DFT total energy (eV for the cell shown) = -41.758
- calculated volume (Å³/cell) = 53.0